# 1
# MgOs2Br

An optimized crystal structure of MgOs2Br (PBE-GGA, Alexandria via LeMat-Bulk).

Results
The value obtained for the density of states at the Fermi level is 3.6 states/eV per cell. The uncorrected formation energy comes out at 1.102 eV per atom. The magnetization is 0.000 μB per atom. The value obtained for the energy above the lowest structure with this stoichiometry is 3.39 eV per formula unit. Its space group is No. 123.

Cell lengths 3.124, 3.124, 6.422 Å; angles 90.00, 90.00, 90.00 degrees
Positions (direct):
1 Br 0.500 0.500 0.250
2 Mg 0.500 0.500 0.750
3 Os 0.000 0.000 0.001
4 Os 0.000 0.000 0.499

---

# 2
# SrLaSe2N

An optimized crystal structure of SrLaSe2N (PBE-GGA, Alexandria via LeMat-Bulk).

Results
The value obtained for the density of states at the Fermi level is 3.9 states/eV per cell. The uncorrected formation energy comes out at -0.815 eV per atom. The magnetization is 0.232 μB per atom. The value obtained for the energy above the lowest structure with this stoichiometry is 0.00 eV per formula unit. Its space group is No. 123.

Cell lengths 5.825, 5.825, 4.361 Å; angles 90.00, 90.00, 90.00 degrees
Site moments in Bohr magnetons follow the coordinates.
Positions (direct):
1 Sr 0.500 0.500 0.500  0.00
2 N 0.000 0.000 0.500  0.36
3 Se 0.000 0.500 0.000  0.19
4 Se 0.500 0.000 0.000  0.19
5 La 0.000 0.000 0.000  0.02

---

# 3
# Rb2SnS4

An optimized crystal structure of Rb2SnS4 (PBE-GGA, Alexandria via LeMat-Bulk).

Results
The value obtained for the density of states at the Fermi level is 4.7 states/eV per cell. The uncorrected formation energy comes out at -0.378 eV per atom. The magnetization is 0.000 μB per atom. The value obtained for the energy above the lowest structure with this stoichiometry is 0.44 eV per formula unit. Its space group is No. 69.

Cell lengths 6.960, 6.960, 6.835 Å; angles 119.45, 119.45, 91.96 degrees
Positions (direct):
1 Rb 0.250 0.750 0.500
2 Rb 0.750 0.250 0.500
3 Sn 0.000 0.000 0.000
4 S 0.748 0.748 0.000
5 S 0.252 0.252 0.000
6 S 0.253 0.253 0.506
7 S 0.747 0.747 0.494

---

# 4
# Ta3BeB2

An optimized crystal structure of Ta3BeB2 (PBE-GGA, Alexandria via LeMat-Bulk).

Results
The value obtained for the density of states at the Fermi level is 4.3 states/eV per cell. The magnetization is 0.000 μB per atom. The uncorrected energy is -9.3429 eV per atom. Its space group is No. 62.

Cell lengths 3.272, 9.328, 9.419 Å; angles 90.00, 90.00, 90.00 degrees
Positions (direct):
1 Ta 0.250 0.377 0.055
2 Ta 0.750 0.623 0.945
3 Ta 0.750 0.877 0.445
4 Ta 0.250 0.123 0.555
5 Ta 0.250 0.702 0.200
6 Ta 0.750 0.298 0.800
7 Ta 0.750 0.202 0.300
8 Ta 0.250 0.798 0.700
9 Ta 0.250 0.433 0.383
10 Ta 0.750 0.567 0.617
11 Ta 0.750 0.933 0.117
12 Ta 0.250 0.067 0.883
13 Be 0.250 0.124 0.131
14 Be 0.750 0.876 0.869
15 Be 0.750 0.624 0.369
16 Be 0.250 0.376 0.631
17 B 0.250 0.684 0.462
18 B 0.750 0.316 0.538
19 B 0.750 0.184 0.038
20 B 0.250 0.816 0.962
21 B 0.250 0.006 0.303
22 B 0.750 0.994 0.697
23 B 0.750 0.506 0.197
24 B 0.250 0.494 0.803